No. 1
{
  "formula": "Nb2CoReRu",
  "functional": "PBE-GGA",
  "state": "relaxed",
  "lattice_angstrom": [[4.7323, 0.0000, 0.0000], [0.0000, 4.6175, 0.0000], [0.0000, 0.0000, 4.7323]],
  "species": ["Re", "Ru", "Nb", "Nb", "Co"],
  "frac_coords": [[0.0000, 0.5000, 0.0000], [0.0000, 0.0000, 0.0000], [0.5000, 0.0000, 0.0000], [0.0000, 0.0000, 0.5000], [0.5000, 0.5000, 0.5000]],
  "energy_ev_per_atom": -8.11,
  "formation_enthalpy_0k_ev_per_fu": 8.40
}


No. 2
{
  "formula": "TiNbCoRe",
  "functional": "PBE-GGA",
  "state": "relaxed",
  "lattice_angstrom": [[4.3970, 0.0000, 0.0000], [2.1985, 3.8079, 0.0000], [2.1985, 1.2693, 3.5901]],
  "species": ["Ti", "Nb", "Co", "Re"],
  "frac_coords": [[0.0000, 0.0000, 0.0000], [0.5000, 0.5000, 0.5000], [0.2500, 0.2500, 0.2500], [0.7500, 0.7500, 0.7500]],
  "energy_ev_per_atom": -9.67,
  "formation_enthalpy_0k_ev_per_fu": -1.15
}


No. 3
{
  "formula": "TiNbCoRe",
  "functional": "PBE-GGA",
  "state": "relaxed",
  "lattice_angstrom": [[3.1363, 0.0000, 0.0000], [0.0000, 3.1363, 0.0000], [0.0000, 0.0000, 6.0642]],
  "species": ["Co", "Nb", "Re", "Ti"],
  "frac_coords": [[0.0000, 0.0000, 0.8518], [0.5000, 0.5000, 0.1013], [0.0000, 0.0000, 0.3625], [0.5000, 0.5000, 0.6124]],
  "energy_ev_per_atom": -9.67,
  "formation_enthalpy_0k_ev_per_fu": -1.15
}